# 1
Computed, not measured: SrHf2Cd after structural relaxation at the PBE level of DFT.

Values from the calculation:
DFT total energy	-20.62	eV/cell
total moment	1.962	μB per formula unit

a b c (Å): 5.2464 5.2464 5.2464
angles (deg): 60.00 60.00 60.00
Closest atoms and distances in Å follow each position.
Element x y z (fractional)
Cd (0.5000, 0.5000, 0.5000)  4 Sr 3.21, 4 Hf 3.21
Hf (0.0000, 0.0000, 0.0000)  4 Hf 3.21, 4 Sr 3.21
Hf (0.2500, 0.2500, 0.2500)  4 Hf 3.21, 4 Cd 3.21
Sr (0.7500, 0.7500, 0.7500)  4 Cd 3.21, 4 Hf 3.21

=====

# 2
Computed, not measured: PrYMgIn after structural relaxation at the PBE level of DFT.

Values from the calculation:
DFT total energy	-16.90	eV/cell
total moment	0.007	μB per formula unit

a b c (Å): 5.4145 5.4145 5.4145
angles (deg): 60.00 60.00 60.00
Closest atoms and distances in Å follow each position.
Element x y z (fractional)
In (0.7500, 0.7500, 0.7500)  4 Pr 3.32, 4 Y 3.32
Mg (0.2500, 0.2500, 0.2500)  4 Y 3.32, 4 Pr 3.32
Pr (0.0000, 0.0000, 0.0000)  4 Mg 3.32, 4 In 3.32
Y (0.5000, 0.5000, 0.5000)  4 Mg 3.32, 4 In 3.32

=====

# 3
Computed, not measured: Zn2CdPd after structural relaxation at the PBE level of DFT.

Values from the calculation:
DFT total energy	-9.40	eV/cell

a b c (Å): 4.4846 4.4846 4.4846
angles (deg): 60.00 60.00 60.00
Closest atoms and distances in Å follow each position.
Element x y z (fractional)
Cd (0.7500, 0.7500, 0.7500)  4 Zn 2.75, 4 Pd 2.75
Pd (0.0000, 0.0000, 0.0000)  4 Cd 2.75, 4 Zn 2.75
Zn (0.2500, 0.2500, 0.2500)  4 Zn 2.75, 4 Pd 2.75
Zn (0.5000, 0.5000, 0.5000)  4 Cd 2.75, 4 Zn 2.75

=====

# 4
Computed, not measured: Zr2Si3Mo4N3 after structural relaxation at the PBE level of DFT.

Values from the calculation:
DFT total energy	-216.94	eV/cell
total moment	0.012	μB per formula unit

a b c (Å): 5.2254 5.2254 13.5556
angles (deg): 78.96 78.96 60.65
Closest atoms and distances in Å follow each position.
Element x y z (fractional)
Mo (0.9571, 0.8146, 0.0896)  3 N 2.13-2.16
Mo (0.2962, 0.1315, 0.0904)  3 N 2.12-2.17
Mo (0.8685, 0.7038, 0.4096)  3 N 2.12-2.17
Mo (0.1854, 0.0429, 0.4104)  3 N 2.13-2.16
Mo (0.8146, 0.9571, 0.5896)  3 N 2.13-2.16
Mo (0.1315, 0.2962, 0.5904)  3 N 2.12-2.17
Mo (0.7038, 0.8685, 0.9096)  3 N 2.12-2.17
Mo (0.0429, 0.1854, 0.9104)  3 N 2.13-2.16
N (0.6523, 0.1948, 0.0000)  4 Mo 2.15-2.17, 2 Zr 2.26
N (0.0000, 0.5000, 0.0000)  4 Mo 2.12-2.13, 2 Zr 2.34
N (0.3477, 0.8052, 0.0000)  4 Mo 2.15-2.17, 2 Zr 2.26
N (0.8052, 0.3477, 0.4999)  4 Mo 2.15-2.17, 2 Zr 2.26
N (0.5000, 0.0000, 0.5000)  4 Mo 2.12-2.13, 2 Zr 2.34
N (0.1948, 0.6523, 0.5001)  4 Mo 2.15-2.17, 2 Zr 2.26
Si (0.1070, 0.4186, 0.2495)  4 Mo 2.59-2.63, 4 Si 2.61-2.65
Si (0.0533, 0.9467, 0.2500)  4 Mo 2.56-2.61, 4 Si 2.61-2.63
Si (0.5814, 0.8930, 0.2505)  4 Mo 2.59-2.63, 4 Si 2.61-2.65
Si (0.4186, 0.1070, 0.7495)  4 Mo 2.59-2.63, 4 Si 2.61-2.65
Si (0.9467, 0.0533, 0.7500)  4 Mo 2.56-2.61, 4 Si 2.61-2.63
Si (0.8930, 0.5814, 0.7505)  4 Mo 2.59-2.63, 4 Si 2.61-2.65
Zr (0.6254, 0.4631, 0.1175)  3 N 2.26-2.34
Zr (0.5368, 0.3746, 0.3825)  3 N 2.26-2.34
Zr (0.4632, 0.6254, 0.6175)  3 N 2.26-2.34
Zr (0.3746, 0.5369, 0.8825)  3 N 2.26-2.34

=====

# 5
Computed, not measured: TaZnFeAg after structural relaxation at the PBE level of DFT.

Values from the calculation:
ΔE to the lowest computed polymorph	0.142	eV per atom
DFT total energy	-22.60	eV/cell
total moment	2.274	μB per formula unit

a b c (Å): 4.4473 4.4473 4.4473
angles (deg): 60.00 60.00 60.00
Closest atoms and distances in Å follow each position.
Element x y z (fractional)
Ag (0.5000, 0.5000, 0.5000)  4 Ta 2.72, 4 Fe 2.72
Fe (0.7500, 0.7500, 0.7500)  4 Ag 2.72, 4 Zn 2.72
Ta (0.2500, 0.2500, 0.2500)  4 Ag 2.72, 4 Zn 2.72
Zn (0.0000, 0.0000, 0.0000)  4 Ta 2.72, 4 Fe 2.72

=====

# 6
Computed, not measured: LuMgCuSe2S after structural relaxation at the PBE level of DFT.

Values from the calculation:
DFT total energy	-55.76	eV/cell
total moment	0.011	μB per formula unit

a b c (Å): 6.5671 6.5671 10.1769
angles (deg): 90.00 90.00 146.46
Closest atoms and distances in Å follow each position.
Element x y z (fractional)
Cu (0.4839, 0.5161, 0.2500)  2 S 2.36, 2 Se 2.44
Cu (0.5161, 0.4839, 0.7500)  2 S 2.36, 2 Se 2.44
Lu (0.0000, 0.0000, 0.0000)  4 Se 2.78, 2 S 2.81
Lu (0.0000, 0.0000, 0.5000)  4 Se 2.78, 2 S 2.81
Mg (0.7497, 0.2503, 0.2500)  2 S 2.71, 4 Se 2.89
Mg (0.2503, 0.7497, 0.7500)  2 S 2.71, 4 Se 2.89
S (0.0955, 0.9045, 0.2500)  2 Cu 2.36
S (0.9045, 0.0955, 0.7500)  2 Cu 2.36
Se (0.3506, 0.6494, 0.0756)  1 Cu 2.44
Se (0.3506, 0.6494, 0.4244)  1 Cu 2.44
Se (0.6494, 0.3506, 0.5756)  1 Cu 2.44
Se (0.6494, 0.3506, 0.9244)  1 Cu 2.44

=====

What is the DFT total energy in the fifth record? -22.60 eV/cell